Record 1
## In2SiTc (PBE)

Data for In2SiTc after structural relaxation.

a b c (Å): 5.1919 5.1919 5.1919
angles (deg): 133.82 133.82 67.37
Last column: nearest neighbours and their distance in Å.
Sites, in units of the cell vectors:
1 In 0.2500 0.7500 0.5000  4 In 2.88, 4 Tc 2.97, 4 Si 2.97
2 In 0.7500 0.2500 0.5000  4 In 2.88, 4 Tc 2.97, 4 Si 2.97
3 Si 0.0000 0.0000 0.0000  4 Tc 2.88, 8 In 2.97
4 Tc 0.5000 0.5000 0.0000  4 Si 2.88, 8 In 2.97

Computed properties:
crystal system = tetragonal
formation energy without anion corrections = 0.45 eV per atom



Record 2
## In2SiTc (PBE)

Data for In2SiTc after structural relaxation.

a b c (Å): 7.4519 7.4519 7.4519
angles (deg): 157.36 148.81 38.89
Last column: nearest neighbours and their distance in Å.
Sites, in units of the cell vectors:
1 In 0.1788 0.1788 0.0000  2 Tc 2.91, 6 In 2.93-3.19, 2 Si 3.21
2 In 0.8212 0.8212 0.0000  2 Tc 2.91, 6 In 2.93-3.19, 2 Si 3.21
3 Si 0.5000 0.0000 0.5000  4 Tc 2.48
4 Tc 0.0000 0.5000 0.5000  4 Si 2.48

Computed properties:
crystal system = orthorhombic
formation energy without anion corrections = 0.05 eV per atom



Record 3
## InSi2Tc2 (PBE)

Data for InSi2Tc2 after structural relaxation.

a b c (Å): 7.0829 7.0829 2.9755
angles (deg): 90.00 90.00 90.00
Last column: nearest neighbours and their distance in Å.
Sites, in units of the cell vectors:
1 In 0.0000 0.0000 0.0000  4 Si 2.77, 2 In 2.98, 8 Tc 3.06
2 In 0.5000 0.5000 0.0000  4 Si 2.77, 2 In 2.98, 8 Tc 3.06
3 Si 0.1325 0.3675 0.0000  6 Tc 2.54-2.58, 1 Si 2.65, 2 In 2.77
4 Si 0.3675 0.8675 0.0000  6 Tc 2.54-2.58, 1 Si 2.65, 2 In 2.77
5 Si 0.6325 0.1325 0.0000  6 Tc 2.54-2.58, 1 Si 2.65, 2 In 2.77
6 Si 0.8675 0.6325 0.0000  6 Tc 2.54-2.58, 1 Si 2.65, 2 In 2.77
7 Tc 0.1567 0.6567 0.5000  6 Si 2.54-2.58
8 Tc 0.3433 0.1567 0.5000  6 Si 2.54-2.58
9 Tc 0.6567 0.8433 0.5000  6 Si 2.54-2.58
10 Tc 0.8433 0.3433 0.5000  6 Si 2.54-2.58

Computed properties:
crystal system = tetragonal
formation energy without anion corrections = -0.10 eV per atom



Record 4
## InSiTc (PBE)

Data for InSiTc after structural relaxation.

a b c (Å): 10.6712 10.6712 10.6712
angles (deg): 163.05 163.05 24.06
Last column: nearest neighbours and their distance in Å.
Sites, in units of the cell vectors:
1 In 0.0703 0.0703 0.0000  5 In 2.93-3.15, 4 Tc 2.95, 1 Si 3.05
2 In 0.9297 0.9297 0.0000  5 In 2.93-3.15, 4 Tc 2.95, 1 Si 3.05
3 Si 0.2162 0.2162 0.0000  5 Tc 2.49-2.52, 4 Si 2.63
4 Si 0.7838 0.7838 0.0000  5 Tc 2.49-2.52, 4 Si 2.63
5 Tc 0.3370 0.3370 0.0000  5 Si 2.49-2.52
6 Tc 0.6630 0.6630 0.0000  5 Si 2.49-2.52

Computed properties:
crystal system = tetragonal
formation energy without anion corrections = -0.32 eV per atom



Record 5
## InSi2Tc (PBE)

Data for InSi2Tc after structural relaxation.

a b c (Å): 4.5241 4.5241 4.5241
angles (deg): 60.00 60.00 60.00
Last column: nearest neighbours and their distance in Å.
Sites, in units of the cell vectors:
1 In 0.0000 0.0000 0.0000  4 Tc 2.77, 4 Si 2.77
2 Si 0.5000 0.5000 0.5000  4 Tc 2.77, 4 Si 2.77
3 Si 0.7500 0.7500 0.7500  4 In 2.77, 4 Si 2.77
4 Tc 0.2500 0.2500 0.2500  4 In 2.77, 4 Si 2.77

Computed properties:
crystal system = cubic
formation energy without anion corrections = 0.61 eV per atom



Record 6
## InSiTc2Te (PBE)

Data for InSiTc2Te after structural relaxation.

a b c (Å): 5.2083 5.2083 5.4073
angles (deg): 90.00 90.00 90.00
Last column: nearest neighbours and their distance in Å.
Sites, in units of the cell vectors:
1 In 0.0000 0.0000 0.0000  4 Tc 2.60, 2 Te 2.70
2 Si 0.5000 0.5000 0.5000  4 Te 3.68, 8 Tc 3.75
3 Tc 0.0000 0.5000 0.0000  2 In 2.60
4 Tc 0.5000 0.0000 0.0000  2 In 2.60
5 Te 0.0000 0.0000 0.5000  2 In 2.70

Computed properties:
crystal system = tetragonal
formation energy without anion corrections = 2.07 eV per atom



Record 7
## TiInSi2Tc (PBE)

Data for TiInSi2Tc after structural relaxation.

a b c (Å): 4.8750 4.8750 5.1079
angles (deg): 90.00 90.00 90.00
Last column: nearest neighbours and their distance in Å.
Sites, in units of the cell vectors:
1 Ti 0.0000 0.0000 0.0000  2 In 2.55
2 In 0.0000 0.0000 0.5000  4 Si 2.44, 2 Ti 2.55
3 Si 0.0000 0.5000 0.5000  2 In 2.44
4 Si 0.5000 0.0000 0.5000  2 In 2.44
5 Tc 0.5000 0.5000 0.0000  4 Ti 3.45, 8 Si 3.53

Computed properties:
crystal system = tetragonal
formation energy without anion corrections = 1.84 eV per atom



Record 8
## InSiTe2 (PBE)

Data for InSiTe2 after structural relaxation.

a b c (Å): 3.1151 4.0894 8.7376
angles (deg): 90.00 90.00 90.00
Last column: nearest neighbours and their distance in Å.
Sites, in units of the cell vectors:
1 In 0.0000 0.0000 0.0000  2 In 3.12
2 Si 0.5000 0.0000 0.5000  4 Te 2.83, 2 Si 3.12
3 Te 0.5000 0.5000 0.2756  2 Si 2.83, 2 Te 3.12
4 Te 0.5000 0.5000 0.7244  2 Si 2.83, 2 Te 3.12

Computed properties:
crystal system = orthorhombic
formation energy without anion corrections = 0.13 eV per atom



Record 9
## InSiTe2 (PBE)

Data for InSiTe2 after structural relaxation.

a b c (Å): 6.3885 6.3885 6.3885
angles (deg): 146.96 124.60 66.04
Last column: nearest neighbours and their distance in Å.
Sites, in units of the cell vectors:
1 In 0.0000 0.0000 0.0000  4 Si 3.48, 8 Te 3.54-3.88, 2 In 3.63
2 Si 0.5000 0.5000 0.0000  4 Te 2.65
3 Te 0.3195 0.8195 0.5000  2 Si 2.65
4 Te 0.6805 0.1805 0.5000  2 Si 2.65

Computed properties:
crystal system = orthorhombic
formation energy without anion corrections = 0.19 eV per atom



Record 10
## In2SiTe (PBE)

Data for In2SiTe after structural relaxation.

a b c (Å): 7.8413 7.8413 7.8413
angles (deg): 131.85 131.85 70.47
Last column: nearest neighbours and their distance in Å.
Sites, in units of the cell vectors:
1 In 0.0758 0.6250 0.9508  2 Si 2.60
2 In 0.3750 0.3258 0.4508  2 Si 2.60
3 In 0.6742 0.1250 0.0492  2 Si 2.60
4 In 0.8750 0.9242 0.5492  2 Si 2.60
5 Si 0.0000 0.0000 0.0000  4 In 2.60
6 Si 0.7500 0.2500 0.5000  4 In 2.60
7 Te 0.2500 0.7500 0.5000  4 In 2.96
8 Te 0.5000 0.5000 0.0000  4 In 2.96

Computed properties:
crystal system = tetragonal
formation energy without anion corrections = -0.07 eV per atom



Record 11
## In2SiTe (PBE)

Data for In2SiTe after structural relaxation.

a b c (Å): 3.1004 5.7281 5.8401
angles (deg): 90.00 92.35 90.00
Last column: nearest neighbours and their distance in Å.
Sites, in units of the cell vectors:
1 In 0.2353 0.0000 0.2449  6 In 3.10-3.37, 2 Si 3.27, 2 Te 3.32
2 In 0.7647 0.0000 0.7551  6 In 3.10-3.37, 2 Si 3.27, 2 Te 3.32
3 Si 0.0000 0.5000 0.0000  2 Te 2.92, 2 Si 3.10, 4 In 3.27
4 Te 0.0000 0.5000 0.5000  2 Si 2.92, 2 Te 3.10

Computed properties:
crystal system = monoclinic
formation energy without anion corrections = 0.27 eV per atom



Record 12
## InSiTe2 (PBE)

Data for InSiTe2 after structural relaxation.

a b c (Å): 3.5493 3.5493 9.5918
angles (deg): 90.00 90.00 109.67
Last column: nearest neighbours and their distance in Å.
Sites, in units of the cell vectors:
1 In 0.0000 0.0000 0.0000  2 Si 2.96, 2 Te 3.02
2 Si 0.5000 0.5000 0.2236  2 Te 2.66, 2 In 2.96
3 Te 0.0000 0.0000 0.4009  2 Si 2.66
4 Te 0.5000 0.5000 0.7689  2 In 3.02

Computed properties:
crystal system = orthorhombic
formation energy without anion corrections = 0.25 eV per atom



For the records above, the corresponding uncorrected energy values read -19.48, -21.06, -34.79, -19.48, -21.51, -21.69, -22.62, -13.94, -13.70, -14.31, -12.95, -13.45 eV per formula unit.
For the records above, the corresponding size of the total moment values read 0.00, 0.27, 0.00, 0.00, 0.00, 5.45, 2.20, 0.00, 0.00, 0.00, 0.00, 0.00 μB/cell.
For the records above, the corresponding theoretical density values read 8.2, 7.2, 8.2, 7.7, 6.8, 5.3, 4.3, 5.9, 5.7, 4.9, 6.2, 5.8 g cm⁻³.